1.
TbSm3Pb2S | PBE | optimized geometry

Cell: 9.016 9.016 9.016 Å, 147.05 146.56 47.66°
Atoms (fractional coordinates):
Tb 0.000 0.000 0.000
Sm 0.168 0.668 0.500
Sm 0.500 0.500 0.000
Sm 0.832 0.332 0.500
Pb 0.363 0.863 0.500
Pb 0.637 0.137 0.500
S 0.000 0.500 0.500

Calculated values
Energy = -5.136 eV/atom
SG = Immm (71)
Formation energy from raw total energies = -0.803 eV/atom
ρ = 8.02 g/cm3

***

2.
ZnCdRh | PBE | optimized geometry

Cell: 2.912 2.912 6.745 Å, 90.00 90.00 120.00°
Atoms (fractional coordinates):
Zn 0.000 0.000 0.000
Cd 0.667 0.333 0.364
Rh 0.333 0.667 0.708

Calculated values
E_form = -0.05 eV per atom
Energy = -3.229 eV/atom
Energy relative to the lowest polymorph listed for this composition = 154 meV per atom
SG = P3m1 (156)
ρ = 9.41 g/cm3

***

3.
Tm6Fe2Au | PBE | optimized geometry

Cell: 8.155 8.155 8.155 Å, 111.10 110.12 107.22°
Atoms (fractional coordinates):
Tm 0.017 0.225 0.792
Tm 0.186 0.289 0.475
Tm 0.186 0.711 0.898
Tm 0.316 0.021 0.705
Tm 0.316 0.612 0.295
Tm 0.434 0.225 0.208
Tm 0.566 0.775 0.792
Tm 0.684 0.388 0.705
Tm 0.684 0.979 0.295
Tm 0.814 0.289 0.102
Tm 0.814 0.711 0.525
Tm 0.983 0.775 0.208
Fe 0.110 0.610 0.500
Fe 0.384 0.000 0.384
Fe 0.616 0.000 0.616
Fe 0.890 0.390 0.500
Au 0.000 0.000 0.000
Au 0.500 0.500 0.000

Calculated values
E_form = -0.25 eV per atom
Energy = -5.480 eV/atom
SG = Immm (71)
ρ = 10.53 g/cm3

***

4.
CaInSnBr5 | PBE | optimized geometry

Cell: 7.956 7.956 10.675 Å, 105.28 105.28 96.40°
Atoms (fractional coordinates):
Ca 0.000 0.500 0.000
Ca 0.500 0.000 0.500
In 0.060 0.940 0.750
In 0.940 0.060 0.250
Sn 0.498 0.502 0.750
Sn 0.502 0.498 0.250
Br 0.180 0.226 0.074
Br 0.208 0.792 0.250
Br 0.226 0.180 0.574
Br 0.299 0.635 0.917
Br 0.365 0.701 0.583
Br 0.635 0.299 0.417
Br 0.701 0.365 0.083
Br 0.774 0.820 0.426
Br 0.792 0.208 0.750
Br 0.820 0.774 0.926

Calculated values
Energy = -3.319 eV/atom
SG = C2/c (15)
Formation energy from raw total energies = -1.181 eV/atom
ρ = 3.62 g/cm3

***

Among the records above, which one has the lowest ρ? CaInSnBr5